Entry 1:
ErScSe2 | Alexandria | PBE-GGA | relaxed; E above lowest polymorph = 329 meV per atom; raw formation energy = -1327 meV per atom
1.0
-3.1011 -0.9547 2.5136
1.6370 -6.0310 -0.2708
5.3094 1.1283 6.9785
Er Se Sc
2 4 2
Direct
0.2010 0.9309 0.7014
0.7010 0.4312 0.5144
0.2010 0.0567 0.0156
0.7009 0.5572 0.2003
0.2010 0.1453 0.4330
0.7010 0.6450 0.7831
0.7010 0.3000 0.9492
0.2009 0.8003 0.2668

***

Entry 2:
NaCa2ZnIr | Alexandria | PBE-GGA | relaxed; energy of formation = -0.135 eV per atom
1.0
5.4684 0.0000 0.0000
0.0000 5.4684 0.0000
0.0000 0.0000 5.0099
Ca Na Zn Ir
2 1 1 1
Direct
0.0000 0.5000 0.0000
0.5000 0.0000 0.0000
0.5000 0.5000 0.5000
0.0000 0.0000 0.5000
0.0000 0.0000 0.0000

***

Entry 3:
Li2HfInO4 | Alexandria | PBE-GGA | relaxed; raw formation energy = -2247 meV per atom
1.0
4.1968 0.0022 0.0000
-0.0021 4.1969 0.0002
-2.0974 -2.0990 5.8192
Li O Hf In
2 4 1 1
Direct
0.0000 0.9999 0.0000
0.2500 0.7502 0.5000
0.6842 0.6843 0.3684
0.3158 0.3158 0.6316
0.9988 0.4987 0.9976
0.5012 0.0012 0.0024
0.5000 0.4999 0.0000
0.7500 0.2501 0.5000

***

Entry 4:
AcSmY | Alexandria | PBE-GGA | relaxed; E above lowest polymorph = 10 meV per atom; energy of formation = 0.057 eV per atom
1.0
6.4139 1.4256 0.0000
2.2569 6.1523 0.0000
0.0000 0.0000 12.1330
Sm Ac Y
4 4 4
Direct
0.5094 0.4241 0.6143
0.4906 0.0759 0.3857
0.9906 0.5759 0.1143
0.0094 0.9241 0.8857
0.6579 0.2599 0.1319
0.8421 0.7401 0.6319
0.3421 0.2401 0.8681
0.1579 0.7599 0.3681
0.3410 0.9259 0.1183
0.6590 0.5741 0.8817
0.8410 0.4259 0.3817
0.1590 0.0741 0.6183

***

| no. | DFT total energy (eV per atom) |
| --- | --- |
| 1 | -5.79 |
| 2 | -3.23 |
| 3 | -6.79 |
| 4 | -5.04 |